Here is crystalline Cs2MnHgI6 at its relaxed geometry from Alexandria via LeMat-Bulk. Energies are from PBE.

M_tot = 0.50 μB/atom
relative energy among the computed polymorphs = 0.012 eV/atom
formation energy without anion corrections = -0.7995 eV/atom
symmetry = I4/mmm, No. 139
density of states at the Fermi level = 0.67 states/eV/f.u.

Cell: 8.5222 8.5222 8.5222 Å, 120.69 120.69 88.81°
Closest atoms and distances in Å follow each position.
Fractional positions:
Cs 0.2500 0.7500 0.5000  12 I 4.23-4.26
Cs 0.7500 0.2500 0.5000  12 I 4.23-4.26
Mn 0.0000 0.0000 0.0000  6 I 2.73-2.98
Hg 0.5000 0.5000 0.0000  4 I 2.99
I 0.2245 0.2245 0.0000  1 Mn 2.73
I 0.2497 0.2497 0.4994  1 Mn 2.98, 1 Hg 2.99
I 0.2497 0.7503 0.0000  1 Mn 2.98, 1 Hg 2.99
I 0.7503 0.2497 0.0000  1 Mn 2.98, 1 Hg 2.99
I 0.7503 0.7503 0.5006  1 Mn 2.98, 1 Hg 2.99
I 0.7755 0.7755 0.0000  1 Mn 2.73


Here is crystalline Ta2CuBr at its relaxed geometry from Alexandria via LeMat-Bulk. Energies are from PBE.

M_tot = 0.00 μB/atom
relative energy among the computed polymorphs = 0.241 eV/atom
formation energy without anion corrections = 0.5088 eV/atom
symmetry = C2/m, No. 12
density of states at the Fermi level = 3.00 states/eV/f.u.

Cell: 4.8419 4.8419 5.0135 Å, 97.99 97.99 37.49°
Closest atoms and distances in Å follow each position.
Fractional positions:
Ta 0.2454 0.2454 0.2225  2 Ta 2.73, 3 Cu 2.73-2.83, 3 Br 2.81-2.98
Ta 0.7546 0.7546 0.7775  2 Ta 2.73, 3 Cu 2.73-2.83, 3 Br 2.81-2.98
Cu 0.5000 0.5000 0.0000  6 Ta 2.73-2.83, 4 Br 2.95
Br 0.0000 0.0000 0.5000  6 Ta 2.81-2.98, 4 Cu 2.95, 2 Br 3.11


Here is crystalline ScNbN2 at its relaxed geometry from Alexandria via LeMat-Bulk. Energies are from PBE.

M_tot = 0.00 μB/atom
formation energy without anion corrections = -0.5966 eV/atom
symmetry = Fm-3m, No. 225
density of states at the Fermi level = 2.42 states/eV/f.u.

Cell: 3.9016 3.9016 3.9016 Å, 60.00 60.00 60.00°
Closest atoms and distances in Å follow each position.
Fractional positions:
Sc 0.0000 0.0000 0.0000  8 N 2.39
Nb 0.5000 0.5000 0.5000  8 N 2.39
N 0.2500 0.2500 0.2500  4 Nb 2.39, 4 Sc 2.39
N 0.7500 0.7500 0.7500  4 Nb 2.39, 4 Sc 2.39


Here is crystalline Ni2SnAuI at its relaxed geometry from Alexandria via LeMat-Bulk. Energies are from PBE.

M_tot = 0.05 μB/atom
formation energy without anion corrections = 0.9504 eV/atom
symmetry = P4/mmm, No. 123
density of states at the Fermi level = 4.29 states/eV/f.u.

Cell: 4.8428 4.8428 5.4077 Å, 90.00 90.00 90.00°
Closest atoms and distances in Å follow each position.
Fractional positions:
Ni 0.0000 0.5000 0.0000  2 Au 2.42
Ni 0.5000 0.0000 0.0000  2 Au 2.42
Sn 0.0000 0.0000 0.5000  4 I 3.42, 8 Ni 3.63
Au 0.5000 0.5000 0.0000  4 Ni 2.42, 2 I 2.70
I 0.5000 0.5000 0.5000  2 Au 2.70


Here is crystalline CaHg2Te2 at its relaxed geometry from Alexandria via LeMat-Bulk. Energies are from PBE.

M_tot = 0.00 μB/atom
relative energy among the computed polymorphs = 0.000 eV/atom
formation energy without anion corrections = -0.5431 eV/atom
symmetry = I4/mmm, No. 139
density of states at the Fermi level = 0.78 states/eV/f.u.

Cell: 9.1936 9.1936 9.1936 Å, 153.32 153.32 38.09°
Closest atoms and distances in Å follow each position.
Fractional positions:
Ca 0.0000 0.0000 0.0000  8 Te 3.34
Hg 0.2500 0.7500 0.5000  4 Hg 3.00
Hg 0.7500 0.2500 0.5000  4 Hg 3.00
Te 0.4150 0.4150 0.0000  1 Te 2.95
Te 0.5850 0.5850 0.0000  1 Te 2.95


Here is crystalline CrIr2I at its relaxed geometry from Alexandria via LeMat-Bulk. Energies are from PBE.

M_tot = 1.03 μB/atom
relative energy among the computed polymorphs = 0.011 eV/atom
formation energy without anion corrections = 0.9423 eV/atom
symmetry = Fm-3m, No. 225
density of states at the Fermi level = 8.27 states/eV/f.u.

Cell: 4.5785 4.5785 4.5785 Å, 60.00 60.00 60.00°
Closest atoms and distances in Å follow each position.
Fractional positions:
Cr 0.0000 0.0000 0.0000  8 Ir 2.80
Ir 0.2500 0.2500 0.2500  4 I 2.80, 4 Cr 2.80
Ir 0.7500 0.7500 0.7500  4 I 2.80, 4 Cr 2.80
I 0.5000 0.5000 0.5000  8 Ir 2.80


Here is crystalline Mg4AlAu at its relaxed geometry from Alexandria via LeMat-Bulk. Energies are from PBE.

formation energy = 0.101 eV/atom
M_tot = 0.00 μB/atom
symmetry = F-43m, No. 216
density of states at the Fermi level = 1.66 states/eV/f.u.

Cell: 5.6108 5.6108 5.6108 Å, 60.00 60.00 60.00°
Closest atoms and distances in Å follow each position.
Fractional positions:
Mg 0.1252 0.1252 0.1252  6 Mg 2.80-2.81
Mg 0.1252 0.1252 0.6245  6 Mg 2.80-2.81
Mg 0.1252 0.6245 0.1252  6 Mg 2.80-2.81
Mg 0.6245 0.1252 0.1252  6 Mg 2.80-2.81
Al 0.7500 0.7500 0.7500  12 Mg 3.29, 4 Au 3.44
Au 0.5000 0.5000 0.5000  12 Mg 3.29, 4 Al 3.44


Here is crystalline LiHo3Ga3 at its relaxed geometry from Alexandria via LeMat-Bulk. Energies are from PBE.

formation energy = -0.508 eV/atom
M_tot = 0.00 μB/atom
symmetry = C2/m, No. 12
density of states at the Fermi level = 5.30 states/eV/f.u.

Cell: 5.7969 5.7969 14.2770 Å, 108.70 108.70 44.20°
Closest atoms and distances in Å follow each position.
Fractional positions:
Li 0.2424 0.2424 0.4048  4 Ga 2.56-2.81
Li 0.7576 0.7576 0.5952  4 Ga 2.56-2.81
Ho 0.2583 0.2583 0.7780  6 Ga 3.02-3.17
Ho 0.3971 0.3971 0.0768  7 Ga 3.05-3.19
Ho 0.4669 0.4669 0.6207  6 Ga 3.04-3.18, 4 Li 3.06-3.27
Ho 0.5331 0.5331 0.3793  6 Ga 3.04-3.18, 4 Li 3.06-3.27
Ho 0.6029 0.6029 0.9232  7 Ga 3.05-3.19
Ho 0.7417 0.7417 0.2220  6 Ga 3.02-3.17
Ga 0.0320 0.0320 0.2302  1 Ga 2.65, 1 Li 2.72
Ga 0.1122 0.1122 0.0745  2 Ga 2.60-2.65
Ga 0.1244 0.1244 0.5520  3 Li 2.56-2.81, 1 Ga 2.57
Ga 0.8756 0.8756 0.4480  3 Li 2.56-2.81, 1 Ga 2.57
Ga 0.8878 0.8878 0.9255  2 Ga 2.60-2.65
Ga 0.9680 0.9680 0.7698  1 Ga 2.65, 1 Li 2.72


What did the third record say?
Here is crystalline ScNbN2 at its relaxed geometry from Alexandria via LeMat-Bulk. Energies are from PBE.

M_tot = 0.00 μB/atom
formation energy without anion corrections = -0.5966 eV/atom
symmetry = Fm-3m, No. 225
density of states at the Fermi level = 2.42 states/eV/f.u.

Cell: 3.9016 3.9016 3.9016 Å, 60.00 60.00 60.00°
Closest atoms and distances in Å follow each position.
Fractional positions:
Sc 0.0000 0.0000 0.0000  8 N 2.39
Nb 0.5000 0.5000 0.5000  8 N 2.39
N 0.2500 0.2500 0.2500  4 Nb 2.39, 4 Sc 2.39
N 0.7500 0.7500 0.7500  4 Nb 2.39, 4 Sc 2.39